# 1
TaSnNO: relaxed, PBE.

Its total DFT energy (no corrections) is -7.905 eV per atom. The magnetization comes out at 0.000 μB/f.u. As for the space-group type: Pca2_1, No. 29. Its polymorph energy (0 for the lowest one) is 448 meV per atom.

Lattice parameters (Å, degrees): 5.905 6.592 5.751 90.00 90.00 90.00
Fractional coordinates of all 16 atoms:
N  0.948  0.398  0.037
N  0.448  0.602  0.037
N  0.552  0.398  0.537
N  0.052  0.602  0.537
O  0.372  0.154  0.212
O  0.872  0.846  0.212
O  0.128  0.154  0.712
O  0.628  0.846  0.712
Sn  0.884  0.347  0.403
Sn  0.384  0.653  0.403
Sn  0.616  0.347  0.903
Sn  0.116  0.653  0.903
Ta  0.067  0.067  0.051
Ta  0.567  0.933  0.051
Ta  0.433  0.067  0.551
Ta  0.933  0.933  0.551

# 2
TaSnNO: relaxed, PBE.

Its total DFT energy (no corrections) is -8.185 eV per atom. The magnetization comes out at 0.004 μB/f.u. As for the space-group type: Pmc2_1, No. 26. Its polymorph energy (0 for the lowest one) is 169 meV per atom.

Lattice parameters (Å, degrees): 3.320 6.547 6.900 90.00 90.00 90.00
Fractional coordinates of all 8 atoms:
N  0.000  0.805  0.380
N  0.000  0.305  0.620
O  0.500  0.454  0.264
O  0.500  0.954  0.736
Sn  0.500  0.996  0.208
Sn  0.500  0.496  0.792
Ta  0.000  0.499  0.401
Ta  0.000  0.999  0.599

# 3
TaSnNO2: relaxed, PBE.

Its total DFT energy (no corrections) is -8.345 eV per atom. The magnetization comes out at 0.001 μB/f.u. As for the space-group type: P1, No. 1.

Lattice parameters (Å, degrees): 4.022 4.071 4.089 88.61 89.98 89.99
Fractional coordinates of all 5 atoms:
N  0.996  0.381  0.373
O  0.495  0.911  0.377
O  0.495  0.386  0.904
Sn  0.999  0.999  0.999
Ta  0.498  0.444  0.440

# 4
TmSnNO: relaxed, PBE.

Its total DFT energy (no corrections) is -6.486 eV per atom. The magnetization comes out at 0.000 μB/f.u. As for the space-group type: P4/nmm, No. 129. Its polymorph energy (0 for the lowest one) is 651 meV per atom.

Lattice parameters (Å, degrees): 4.176 4.176 7.325 90.00 90.00 90.00
Fractional coordinates of all 8 atoms:
N  0.000  0.500  0.347
N  0.500  0.000  0.653
O  0.000  0.000  0.000
O  0.500  0.500  0.000
Sn  0.000  0.000  0.500
Sn  0.500  0.500  0.500
Tm  0.500  0.000  0.111
Tm  0.000  0.500  0.889

# 5
TmSnNO: relaxed, PBE.

Its total DFT energy (no corrections) is -6.791 eV per atom. The magnetization comes out at 0.002 μB/f.u. As for the space-group type: Pmc2_1, No. 26. Its polymorph energy (0 for the lowest one) is 345 meV per atom.

Lattice parameters (Å, degrees): 3.727 5.844 6.445 90.00 90.00 90.00
Fractional coordinates of all 8 atoms:
N  0.000  0.618  0.090
N  0.000  0.382  0.590
O  0.500  0.127  0.185
O  0.500  0.873  0.685
Sn  0.000  0.707  0.463
Sn  0.000  0.293  0.963
Tm  0.500  0.817  0.008
Tm  0.500  0.183  0.508

# 6
TmSnNO: relaxed, PBE.

Its total DFT energy (no corrections) is -6.929 eV per atom. The magnetization comes out at 0.001 μB/f.u. As for the space-group type: Pmc2_1, No. 26. Its polymorph energy (0 for the lowest one) is 208 meV per atom.

Lattice parameters (Å, degrees): 3.370 5.791 6.754 90.00 90.00 90.00
Fractional coordinates of all 8 atoms:
N  0.000  0.894  0.276
N  0.000  0.394  0.724
O  0.500  0.295  0.393
O  0.500  0.795  0.607
Sn  0.500  0.022  0.122
Sn  0.500  0.522  0.878
Tm  0.000  0.543  0.414
Tm  0.000  0.043  0.586